1.
Entry from the Alexandria database: a relaxed structure of CaTlCuF6 (PBE-GGA).

```
CaTlCuF6
1.0
5.1434 0.0000 0.0000
0.0000 5.1434 0.0000
0.0000 0.0000 10.5289
Ca Tl Cu F
2 2 2 12
Cartesian
0.0000 0.0000 0.0000
2.5717 2.5717 5.2645
0.0000 0.0000 7.0502
2.5717 2.5717 1.7857
0.0000 0.0000 3.5337
2.5717 2.5717 8.7982
0.9516 0.9516 1.8733
0.9806 0.9806 5.1656
1.1140 1.1140 8.8122
1.4577 3.6858 3.5478
1.5911 3.5523 10.4301
1.6202 3.5233 7.1378
3.5233 1.6202 7.1378
3.5523 1.5911 10.4301
3.6858 1.4577 3.5478
4.0294 4.0294 8.8122
4.1628 4.1628 5.1656
4.1919 4.1919 1.8733
```

Computed properties:
Formation energy (no corrections), eV/atom: -2.350
Energy, eV per atom: -4.538
Calculated volume, Å³/cell: 278.5
Density, kg/m3: 5031



2.
Entry from the Alexandria database: a relaxed structure of CaNdAgSb (PBE-GGA).

```
CaNdAgSb
1.0
0.0000 3.7944 3.7944
3.7944 0.0000 3.7944
3.7944 3.7944 0.0000
Ca Nd Ag Sb
1 1 1 1
Cartesian
0.0000 0.0000 0.0000
3.7944 3.7944 3.7944
1.8972 1.8972 1.8972
5.6916 5.6916 5.6916
```

Computed properties:
Formation energy (no corrections), eV/atom: -0.601
Energy, eV per atom: -4.037
Calculated volume, Å³/cell: 109.3
Density, kg/m3: 6291



3.
Entry from the Alexandria database: a relaxed structure of Sm12Er7Zr (PBE-GGA).

```
Sm12Er7Zr
1.0
8.3182 4.8025 2.7137
-8.3182 4.8025 2.7137
0.0000 -9.6050 2.7137
Sm Er Zr
12 7 1
Cartesian
-2.3615 -5.5148 2.7137
-5.9567 0.7123 2.7137
0.0000 -2.8682 2.0412
-2.4839 1.4341 2.0412
2.3615 -5.5148 2.7137
-3.5952 4.8025 2.7137
2.4839 1.4341 2.0412
-2.4839 -1.4341 6.0997
5.9567 0.7123 2.7137
3.5952 4.8025 2.7137
2.4839 -1.4341 6.0997
0.0000 2.8682 6.0997
0.0000 0.0000 0.0000
-2.8135 -1.6244 2.7422
2.8135 -1.6244 2.7422
0.0000 3.2488 2.7422
0.0000 -3.2488 5.3988
-2.8135 1.6244 5.3988
2.8135 1.6244 5.3988
0.0000 0.0000 4.0705
```

Computed properties:
Offset from the most stable computed form, meV/atom: 14.6
DFT formation energy, eV per atom: 0.25
Energy, eV per atom: -4.611
Calculated volume, Å³/cell: 650.4
Density, kg/m3: 7828



4.
Entry from the Alexandria database: a relaxed structure of NiPt4Au (PBE-GGA).

```
NiPt4Au
1.0
0.0000 3.7062 3.7062
3.7062 0.0000 3.7062
3.7062 3.7062 0.0000
Ni Pt Au
1 4 1
Cartesian
0.0000 0.0000 0.0000
4.6338 2.7786 2.7786
2.7786 4.6338 2.7786
2.7786 2.7786 4.6338
4.6338 4.6338 4.6338
1.8531 1.8531 1.8531
```

Computed properties:
Offset from the most stable computed form, meV/atom: 296.3
DFT formation energy, eV per atom: 0.27
Energy, eV per atom: -5.266
Calculated volume, Å³/cell: 101.8
Density, kg/m3: 16896